Here is a geometry-optimized LaCuI2 structure from the Alexandria database. Energies are from PBE-GGA.

The space group is Fm-3m (No. 225) and the conventional cell measures 7.789, 7.789 and 7.789 Å, with angles of 90.00, 90.00 and 90.00 degrees. The asymmetric unit holds La at (0.000, 0.000, 0.000), Cu at (0.000, 0.000, 0.500) and I at (0.250, 0.250, 0.250).

The total moment is 0.00 μB/cell. The total energy comes out at -56.785 eV for the cell shown. The volume comes out at 472.5 Å³ per cell.